{"formula": "NaSnB", "functional": "PBE-GGA", "state": "optimized geometry", "formation_enthalpy_0k_ev_per_atom": 0.225, "total_magnetization_mub_per_fu": 0.00, "density_g_cm3": 3.86, "cell": [[3.8825, -0.0041, -0.0005], [0.0027, 4.9444, -0.0034], [0.0007, 0.0008, 6.8284]], "species": ["Na", "Na", "B", "B", "Sn", "Sn"], "fractional_positions": [[0.6336, 0.4310, 0.9084], [0.9144, 0.4310, 0.4087], [0.9011, 0.9310, 0.7878], [0.9010, 0.9311, 0.0284], [0.3991, 0.9311, 0.2012], [0.3992, 0.9308, 0.6151]]}